[1]
Pm7DyEr3: relaxed, PBE.

The structure in POSCAR format:
```
Pm7DyEr3
1.0
6.3700 -5.6545 0.0000
6.3700 5.6545 0.0000
-2.6953 0.0000 5.2111
Pm Dy Er
7 1 3
Direct
0.0000 0.0000 0.0000
0.0972 0.5168 0.3072
0.2912 0.2912 0.7929
0.4832 0.9028 0.6928
0.5168 0.0972 0.3072
0.7088 0.7088 0.2071
0.9028 0.4832 0.6928
0.0000 0.0000 0.5000
0.2960 0.7040 0.0000
0.5000 0.5000 0.5000
0.7040 0.2960 0.0000
```

Space group: C2/m, No. 12
Fermi-level density of states in states/eV/f.u.: 15.0
ΔE to the lowest computed polymorph in eV per atom: 0.051



[2]
Pm4DyEr10: relaxed, PBE.

The structure in POSCAR format:
```
Pm4DyEr10
1.0
-6.0615 6.0615 3.8576
6.0615 -6.0615 3.8576
6.0615 6.0615 -3.8576
Pm Dy Er
4 1 10
Direct
0.1005 0.2995 0.4000
0.2995 0.8995 0.1989
0.7005 0.1005 0.8011
0.8995 0.7005 0.6000
0.5000 0.5000 0.0000
0.0529 0.1526 0.7023
0.1526 0.4503 0.0997
0.2500 0.7500 0.5000
0.3506 0.0529 0.9003
0.4503 0.3506 0.2977
0.5497 0.6494 0.7023
0.6494 0.9471 0.0997
0.7500 0.2500 0.5000
0.8474 0.5497 0.9003
0.9471 0.8474 0.2977
```

Space group: I4/m, No. 87
Fermi-level density of states in states/eV/f.u.: 22.6



[3]
PmDy3Er12: relaxed, PBE.

The structure in POSCAR format:
```
PmDy3Er12
1.0
4.9795 0.0000 0.0000
0.0000 4.9795 0.0000
0.0000 0.0000 19.9167
Pm Dy Er
1 3 12
Direct
0.0000 0.0000 0.0000
0.0000 0.0000 0.2507
0.0000 0.0000 0.5000
0.0000 0.0000 0.7493
0.0000 0.5000 0.1264
0.0000 0.5000 0.3754
0.0000 0.5000 0.6246
0.0000 0.5000 0.8736
0.5000 0.0000 0.1264
0.5000 0.0000 0.3754
0.5000 0.0000 0.6246
0.5000 0.0000 0.8736
0.5000 0.5000 0.0000
0.5000 0.5000 0.2511
0.5000 0.5000 0.5000
0.5000 0.5000 0.7489
```

Space group: P4/mmm, No. 123
Fermi-level density of states in states/eV/f.u.: 20.9



| no. | energy relative to the elements (eV per atom) | total energy (eV/cell) |
| --- | --- | --- |
| 1 | 0.23 | -49.0 |
| 2 | 0.76 | -57.8 |
| 3 | 0.02 | -73.0 |